This record from the Alexandria database describes a crystal of GaBTe3 relaxed with PBEsol. The functional is meta-GGA SCAN.

SG: Pm-3m, No. 221

```
GaBTe3
1.0
5.2681 0.0000 0.0000
0.0000 5.2681 0.0000
0.0000 0.0000 5.2681
B Te Ga
1 3 1
direct
0.5000 0.5000 0.5000 B
0.0000 0.5000 0.0000 Te
0.0000 0.0000 0.5000 Te
0.5000 0.0000 0.0000 Te
0.0000 0.0000 0.0000 Ga
```

***

This record from the Alexandria database describes a crystal of CaTeAs2 relaxed with PBEsol. The functional is meta-GGA SCAN.

SG: P4mm, No. 99

```
CaTeAs2
1.0
-0.3239 -3.8816 1.4409
3.1581 -1.1663 -2.4319
3.8606 1.3063 4.3871
As Te Ca
2 1 1
direct
0.0000 0.0000 0.1051 As
0.5000 0.5000 0.1754 As
0.5000 0.5000 0.6283 Te
0.0000 0.0000 0.5913 Ca
```

***

Number 1: spin magnetization 0.000 μB per cell, ΔE_f (raw) 1304 meV/atom. Number 2: spin magnetization 0.000 μB per cell, ΔE_f (raw) -530 meV/atom.